Below is a relaxed Ho5TlAg crystal, with properties calculated at the PBE level.

Geometry as POSCAR:
```
Ho5TlAg
1.0
-3.2205 -4.1737 3.6741
-1.3205 -3.4655 -5.2475
8.2020 -5.6658 1.2970
Ho Tl Ag
10 2 2
direct
0.0581 0.6112 0.1647 Ho
0.2328 0.4100 0.5007 Ho
0.6112 0.0581 0.6647 Ho
0.8600 0.1400 0.2500 Ho
0.5900 0.7672 0.9993 Ho
0.4100 0.2328 0.0007 Ho
0.1400 0.8600 0.7500 Ho
0.3888 0.9419 0.3353 Ho
0.7672 0.5900 0.4993 Ho
0.9419 0.3888 0.8353 Ho
0.5219 0.4781 0.2500 Tl
0.4781 0.5219 0.7500 Tl
0.0000 0.0000 0.0000 Ag
0.0000 0.0000 0.5000 Ag
```

Computed properties:
The total energy is -4.032 eV per atom. As for the space-group type: No. 15. For the density of states at the Fermi level, the calculation gives 18.04 states/eV/cell. As for the energy relative to the elements: -0.017 eV per atom. Its calculated density is 9.11 g/cm³.